# NbSbRh

Crystalline NbSbRh at its relaxed geometry (GGA-PBEsol, Alexandria).

## Properties
E_tot (eV for the cell shown): -24.55
Raw formation energy (eV per atom): -0.34
ρ (Mg/m³): 9.081
Magnetization (μB per atom): 0.196

Cell: 4.3467 4.3467 4.3467 Å, 60.00 60.00 60.00°
Positions (direct):
Sb 0.5000 0.5000 0.5000
Nb 0.0000 0.0000 0.0000
Rh 0.2500 0.2500 0.2500